# 1
{
  "formula": "Tl2AgAs2",
  "functional": "meta-GGA SCAN",
  "state": "PBEsol geometry",
  "dos_ef_per_ev_fu": 2.12,
  "ef_ev_per_fu": 0.410,
  "magmom_total_mub_per_fu": 0.000,
  "space_group": "P4/mbm (127)",
  "lattice_angstrom": [[5.214, 0.000, 0.000], [0.000, 6.722, 0.000], [0.000, 0.000, 6.722]],
  "species": ["Tl", "Tl", "Tl", "Tl", "As", "As", "As", "As", "Ag", "Ag"],
  "frac_coords": [[0.500, 0.184, 0.684], [0.500, 0.684, 0.816], [0.500, 0.816, 0.316], [0.500, 0.316, 0.184], [0.000, 0.370, 0.870], [0.000, 0.870, 0.630], [0.000, 0.630, 0.130], [0.000, 0.130, 0.370], [0.000, 0.000, 0.000], [0.000, 0.500, 0.500]]
}


# 2
{
  "formula": "TlAg2As",
  "functional": "meta-GGA SCAN",
  "state": "PBEsol geometry",
  "dos_ef_per_ev_fu": 1.46,
  "ef_ev_per_fu": 0.873,
  "magmom_total_mub_per_fu": 0.000,
  "space_group": "P4mm (99)",
  "lattice_angstrom": [[-1.495, -1.892, -2.289], [2.969, -0.962, -1.144], [-0.025, -5.574, 4.623]],
  "species": ["Tl", "As", "Ag", "Ag"],
  "frac_coords": [[0.500, 0.500, 0.760], [0.000, 0.000, 0.449], [0.000, 0.000, 0.037], [0.500, 0.500, 0.254]]
}


# 3
{
  "formula": "TlAg2As",
  "functional": "meta-GGA SCAN",
  "state": "PBEsol geometry",
  "dos_ef_per_ev_fu": 1.20,
  "ef_ev_per_fu": 0.796,
  "magmom_total_mub_per_fu": 0.000,
  "space_group": "P4/mmm (123)",
  "lattice_angstrom": [[-0.099, -2.493, 1.898], [3.018, 0.436, 0.730], [-2.150, 4.709, 6.073]],
  "species": ["Tl", "As", "Ag", "Ag"],
  "frac_coords": [[0.500, 0.500, 0.000], [0.500, 0.500, 0.500], [0.000, 0.000, 0.279], [0.000, 0.000, 0.721]]
}


# 4
{
  "formula": "AgAs2W",
  "functional": "meta-GGA SCAN",
  "state": "PBEsol geometry",
  "polymorph_energy_kj_per_mol_atoms": 26.5,
  "dos_ef_per_ev_fu": 2.54,
  "ef_ev_per_fu": 1.781,
  "magmom_total_mub_per_fu": 0.000,
  "space_group": "P4mm (99)",
  "lattice_angstrom": [[-0.539, 3.484, 0.005], [-0.807, -0.120, -3.430], [-5.159, -0.800, 1.243]],
  "species": ["As", "As", "Ag", "W"],
  "frac_coords": [[0.000, 0.000, 0.942], [0.500, 0.500, 0.302], [0.500, 0.500, 0.789], [0.000, 0.000, 0.467]]
}


These records have total DFT energy (no corrections) values of -43.21 -38.60 -38.62 -34.91 eV per atom, in the order they appear.